Compound: MgRuPb
Source: the Alexandria database
Functional: PBEsol
Structure: optimized geometry

Cell: 4.421 4.421 4.421 Å, 60.00 60.00 60.00°
Atoms (fractional coordinates):
1 Ru 0.500 0.500 0.500
2 Mg 0.250 0.250 0.250
3 Pb 0.000 0.000 0.000

energy of formation: 0.753 eV/atom